(1)
An optimized crystal structure of MnAlFe2, computed with GGA-PBE.

```
MnAlFe2
1.0
2.5408 0.0000 0.0000
0.0000 4.0627 0.0000
-0.8207 0.0000 4.7061
Mn Al Fe
1 1 2
Cartesian
0.0000 0.0000 0.0000 Mn
1.5704 2.0313 1.1961 Al
-0.0088 2.0313 3.5217 Fe
0.7471 0.0000 2.4330 Fe
```


(2)
An optimized crystal structure of MnAl3Fe, computed with GGA-PBE.

Output
Relative energy among the computed polymorphs = 0.400 eV per atom

```
MnAl3Fe
1.0
4.4465 0.0000 0.0000
0.0000 4.4465 0.0000
0.0000 0.0000 4.4465
Mn Al Fe
1 3 1
Cartesian
0.0000 0.0000 0.0000 Mn
0.0000 2.2233 2.2233 Al
2.2233 0.0000 2.2233 Al
2.2233 2.2233 0.0000 Al
2.2233 2.2233 2.2233 Fe
```


(3)
An optimized crystal structure of MnAlFe14, computed with GGA-PBE.

```
MnAlFe14
1.0
2.8445 -4.0200 0.0000
2.8445 4.0200 0.0000
0.0000 0.0000 8.0480
Mn Al Fe
1 1 14
Cartesian
0.0000 0.0000 0.0000 Mn
2.8445 0.0000 0.0000 Al
0.0000 0.0000 4.0240 Fe
1.4223 2.0100 0.0000 Fe
1.4223 2.0100 4.0240 Fe
1.3951 0.0000 2.0381 Fe
1.3951 0.0000 6.0099 Fe
2.8445 1.9896 1.9967 Fe
2.8445 1.9896 6.0514 Fe
1.4223 -2.0100 0.0000 Fe
1.4223 -2.0100 4.0240 Fe
2.8445 0.0000 4.0240 Fe
2.8445 -1.9896 1.9967 Fe
2.8445 -1.9896 6.0514 Fe
4.2939 0.0000 2.0381 Fe
4.2939 0.0000 6.0099 Fe
```


(4)
An optimized crystal structure of Mn2AlFe5, computed with GGA-PBE.

```
Mn2AlFe5
1.0
-1.9681 1.9681 5.8868
1.9681 -1.9681 5.8868
1.9681 1.9681 -5.8868
Mn Al Fe
2 1 5
Cartesian
0.0000 0.0000 2.9294 Mn
0.0000 0.0000 8.8442 Mn
0.0000 0.0000 0.0000 Al
1.9681 0.0000 1.5356 Fe
1.9681 0.0000 4.3512 Fe
0.0000 0.0000 5.8868 Fe
0.0000 1.9681 1.5356 Fe
0.0000 1.9681 4.3512 Fe
```


(5)
An optimized crystal structure of MnAlFe2, computed with GGA-PBE.

```
MnAlFe2
1.0
1.5159 -2.0197 0.0000
1.5159 2.0197 0.0000
0.0000 0.0000 7.7645
Mn Al Fe
1 1 2
Cartesian
0.0000 0.0000 0.0000 Mn
0.0000 0.0000 3.8823 Al
1.5159 0.0000 1.9203 Fe
1.5159 0.0000 5.8442 Fe
```


(6)
An optimized crystal structure of Mn4AlFe3, computed with GGA-PBE.

```
Mn4AlFe3
1.0
-1.9833 1.9997 5.7714
1.9833 -1.9997 5.7714
1.9833 1.9997 -5.7714
Mn Al Fe
4 1 3
Cartesian
0.0000 0.0000 1.5402 Mn
1.9833 0.0000 2.8610 Mn
0.0000 1.9997 2.9104 Mn
0.0000 0.0000 10.0027 Mn
1.9833 0.0000 0.0000 Al
0.0000 0.0000 4.3072 Fe
0.0000 1.9997 0.0000 Fe
0.0000 0.0000 7.2356 Fe
```


| no. | energy of formation (eV per atom) | VASP energy (eV/atom) |
| --- | --- | --- |
| 1 | -0.071 | -7.530 |
| 2 | 0.269 | -5.503 |
| 3 | -0.021 | -8.233 |
| 4 | -0.027 | -8.076 |
| 5 | 0.001 | -7.458 |
| 6 | -0.035 | -8.261 |